1.
The following is a DFT calculation (PBE) of a relaxed structure of La4Eu2Tc.

Cell lengths 5.5121, 5.5121, 18.7310 Å; angles 90.00, 90.00, 90.00 degrees
Space group I4/mmm (No. 139)
Asymmetric unit:
La (0.0000, 0.0000, 0.1491)
La (0.0000, 0.5000, 0.0000)
Eu (0.0000, 0.0000, 0.3448)
Tc (0.0000, 0.0000, 0.0000)

Values from the calculation:
Mass density = 5.6 Mg/m³
ΔH_f (0 K) = 0.17 eV/atom
DOS(E_F) = 17.7 states/eV per cell

2.
The following is a DFT calculation (PBE) of a relaxed structure of BeAlW2.

Cell lengths 9.2178, 3.2597, 4.2489 Å; angles 90.00, 117.26, 90.00 degrees
Space group C2/m (No. 12)
Asymmetric unit:
Be (0.0000, 0.0000, 0.0000)
Al (0.0000, 0.5000, 0.5000)
W (0.2405, 0.5000, 0.2405)

Values from the calculation:
Mass density = 11.8 Mg/m³
ΔH_f (0 K) = 0.10 eV/atom
DOS(E_F) = 3.0 states/eV per cell

3.
The following is a DFT calculation (PBE) of a relaxed structure of SiPb3Se2F6.

Cell lengths 15.1125, 7.0564, 4.7109 Å; angles 90.00, 91.67, 90.00 degrees
Space group C2/m (No. 12)
Asymmetric unit:
Si (0.0000, 0.0000, 0.0000)
Pb (0.0000, 0.5000, 0.5000)
Pb (0.2500, 0.2500, 0.0000)
Se (0.1950, 0.5000, 0.5012)
F (0.0284, 0.1751, 0.2368)
F (0.1100, 0.0000, 0.8894)

Values from the calculation:
Mass density = 6.1 Mg/m³
ΔE_f (raw) = -1.977 eV/atom
DOS(E_F) = 1.7 states/eV per cell

4.
The following is a DFT calculation (PBE) of a relaxed structure of NaMg4AgSn2.

Cell lengths 5.0394, 5.0394, 24.8940 Å; angles 90.00, 90.00, 120.00 degrees
Space group R-3m (No. 166, hexagonal axes)
Asymmetric unit:
Na (0.0000, 0.0000, 0.0000)
Mg (0.0000, 0.0000, 0.1323)
Mg (0.0000, 0.0000, 0.3856)
Ag (0.0000, 0.0000, 0.5000)
Sn (0.0000, 0.0000, 0.2562)

Values from the calculation:
Mass density = 4.2 Mg/m³
ΔH_f (0 K) = -0.12 eV/atom
DOS(E_F) = 5.6 states/eV per cell

5.
The following is a DFT calculation (PBE) of a relaxed structure of ZrAlFe2.

Cell lengths 2.7085, 4.8123, 10.1854 Å; angles 90.00, 90.00, 90.00 degrees
Space group Immm (No. 71)
Asymmetric unit:
Zr (0.0000, 0.0000, 0.0000)
Al (0.0000, 0.0000, 0.5000)
Fe (0.0000, 0.0000, 0.2655)

Values from the calculation:
Mass density = 5.8 Mg/m³
ΔH_f (0 K) = 0.42 eV/atom
DOS(E_F) = 7.3 states/eV per cell

6.
The following is a DFT calculation (PBE) of a relaxed structure of Tb5Tl2Pd.

Cell lengths 7.3040, 12.5908, 4.8503 Å; angles 90.00, 90.00, 90.00 degrees
Space group Pbam (No. 55)
Asymmetric unit:
Tb (0.0000, 0.0000, 0.0000)
Tb (0.1279, 0.2855, 0.0000)
Tb (0.1794, 0.5839, 0.5000)
Tl (0.1011, 0.8386, 0.5000)
Pd (0.0000, 0.5000, 0.0000)

Values from the calculation:
Mass density = 9.8 Mg/m³
ΔH_f (0 K) = -0.41 eV/atom
DOS(E_F) = 15.9 states/eV per cell